Compound: PmNdPuN3
Source: Alexandria via LeMat-Bulk
Functional: GGA-PBE
Structure: relaxed

Cell lengths 7.3530, 3.6913, 8.3737 Å; angles 90.00, 96.17, 90.00 degrees
Fractional positions:
Pm 0.1228 0.2500 0.1620
Pm 0.8772 0.7500 0.8380
Nd 0.3420 0.7500 0.8624
Nd 0.6580 0.2500 0.1376
Pu 0.4432 0.7500 0.4232
Pu 0.5568 0.2500 0.5768
N 0.1128 0.2500 0.8764
N 0.2823 0.2500 0.4338
N 0.4007 0.7500 0.1570
N 0.5993 0.2500 0.8430
N 0.7177 0.7500 0.5662
N 0.8872 0.7500 0.1236

---

Compound: PmNdReN4
Source: Alexandria via LeMat-Bulk
Functional: GGA-PBE
Structure: relaxed

Cell lengths 6.8546, 6.8546, 6.8546 Å; angles 146.92, 146.92, 47.49 degrees
Fractional positions:
Pm 0.0000 0.0000 0.0000
Nd 0.2922 0.2922 0.0000
Re 0.6456 0.6456 0.0000
N 0.1455 0.6455 0.5000
N 0.4800 0.4800 0.0000
N 0.6455 0.1455 0.5000
N 0.8130 0.8130 0.0000

---

Compound: PmNdSN
Source: Alexandria via LeMat-Bulk
Functional: GGA-PBE
Structure: relaxed

Cell lengths 6.8866, 6.8866, 6.8866 Å; angles 31.75, 31.75, 31.75 degrees
Fractional positions:
Pm 0.0000 0.0000 0.0000
Nd 0.5261 0.5261 0.5261
S 0.7622 0.7622 0.7622
N 0.2644 0.2644 0.2644

---

no.,uncorrected formation energy (eV/f.u.),total magnetization (μB per formula unit)
1,-5.55,0.001
2,-6.19,0.000
3,-6.97,0.000